Entry 1:
Here is a PBEsol-optimized structure of ReBS2 from Alexandria via LeMat-Bulk. Energies are from meta-GGA SCAN.

Summary:
Its space group is No. 122. Its raw formation energy is 0.20 eV per atom.

a = 4.9702 Å, b = 5.7006 Å, c = 4.9702 Å
α = 115.84°, β = 90.00°, γ = 115.84°
With the nearest neighbours (Å) after each atom.
Atoms (fractional coordinates):
B1 0.5000 0.0000 0.5000  4 S 1.93
B2 0.7500 0.5000 0.2500  4 S 1.93
S1 0.8168 0.2500 0.8750  2 B 1.93
S2 0.1250 0.7500 0.5668  2 B 1.93
S3 0.6250 0.7500 0.1832  2 B 1.93
S4 0.4332 0.2500 0.3750  2 B 1.93
Re1 0.0000 0.0000 0.0000  4 S 2.27
Re2 0.2500 0.5000 0.7500  4 S 2.27

Entry 2:
Here is a PBEsol-optimized structure of Zn3Rh5 from Alexandria via LeMat-Bulk. Energies are from meta-GGA SCAN.

Summary:
Its space group is No. 65. As for the calculated formation energy: -0.211 eV/atom.

a = 4.1794 Å, b = 5.1729 Å, c = 5.1729 Å
α = 107.96°, β = 90.00°, γ = 90.00°
With the nearest neighbours (Å) after each atom.
Atoms (fractional coordinates):
Rh1 0.0000 0.0000 0.0000  8 Rh 2.59-2.63
Rh2 0.5000 0.7377 0.7377  6 Zn 2.54-2.61, 2 Rh 2.63
Rh3 0.0000 0.5000 0.0000  6 Zn 2.59, 2 Rh 2.59
Rh4 0.5000 0.2623 0.2623  6 Zn 2.54-2.61, 2 Rh 2.63
Rh5 0.0000 0.0000 0.5000  6 Zn 2.59, 2 Rh 2.59
Zn1 0.0000 0.5000 0.5000  8 Rh 2.54-2.59
Zn2 0.5000 0.7600 0.2400  8 Rh 2.56-2.61
Zn3 0.5000 0.2400 0.7600  8 Rh 2.56-2.61

Entry 3:
Here is a PBEsol-optimized structure of BaLaRe2 from Alexandria via LeMat-Bulk. Energies are from meta-GGA SCAN.

Summary:
Its space group is No. 25. The calculation puts the distance to the lowest polymorph of the same formula at 0.00 eV per formula unit. As for the calculated formation energy: 0.482 eV/atom.

a = 3.2017 Å, b = 3.7908 Å, c = 9.2305 Å
α = 90.00°, β = 90.00°, γ = 90.00°
With the nearest neighbours (Å) after each atom.
Atoms (fractional coordinates):
Re1 0.0000 0.0000 0.0854  4 Re 2.54
Re2 0.5000 0.5000 0.1440  4 Re 2.54, 1 La 2.84
Ba1 0.0000 0.0000 0.4339  2 Ba 3.20, 1 Re 3.22
La1 0.5000 0.5000 0.8367  1 Re 2.84

| no. | electronic total energy (eV/f.u.) | D(E_F) (states/eV per cell) |
| --- | --- | --- |
| 1 | -96.99 | 0.9 |
| 2 | -211.09 | 7.7 |
| 3 | -222.92 | 4.8 |